## Cd2SbI (PBE-GGA)

Data for Cd2SbI after structural relaxation.

abc: 4.395 4.395 8.098
angles: 74.25 74.25 60.00
Atoms (fractional coordinates):
I 0.490 0.490 0.529
Cd 0.071 0.071 0.786
Cd 0.271 0.271 0.187
Sb 0.667 0.667 0.998

## Properties
Fermi-level density of states, states/eV per cell: 0.86
E above lowest polymorph, eV per formula unit: 0.63
Total energy, eV per atom: -1.97
Energy relative to the elements, uncorrected, eV/atom: -0.094
Mass density, g/cm3: 6.1



## Dy2TmAg (PBE-GGA)

Data for Dy2TmAg after structural relaxation.

abc: 5.346 5.346 5.346
angles: 60.00 60.00 60.00
Atoms (fractional coordinates):
Dy 0.750 0.750 0.750
Dy 0.250 0.250 0.250
Tm 0.500 0.500 0.500
Ag 0.000 0.000 0.000

## Properties
Fermi-level density of states, states/eV per cell: 3.43
E above lowest polymorph, eV per formula unit: 0.73
Total energy, eV per atom: -4.08
Energy relative to the elements, eV/atom: 0.05
Mass density, g/cm3: 9.3



## ZrCo3B3 (PBE-GGA)

Data for ZrCo3B3 after structural relaxation.

abc: 5.393 5.393 5.393
angles: 90.00 90.00 90.00
Atoms (fractional coordinates):
B 0.250 0.500 0.000
B 0.000 0.750 0.500
B 0.000 0.250 0.500
B 0.500 0.000 0.750
B 0.750 0.500 0.000
B 0.500 0.000 0.250
Co 0.250 0.000 0.500
Co 0.500 0.750 0.000
Co 0.500 0.250 0.000
Co 0.750 0.000 0.500
Co 0.000 0.500 0.250
Co 0.000 0.500 0.750
Zr 0.500 0.500 0.500
Zr 0.000 0.000 0.000

## Properties
Fermi-level density of states, states/eV per cell: 12.98
Total energy, eV per atom: -7.15
Energy relative to the elements, eV/atom: -0.03
Mass density, g/cm3: 6.4



> Which of these has the lowest total energy?

ZrCo3B3